meta-GGA SCAN Sr3Pt, single point on PBEsol structure; formation enthalpy at 0 K = -0.522 eV per atom; density of states at the Fermi level = 0.40 states/eV per atom
1.0
4.283 0.000 0.000
2.141 3.709 0.000
2.141 1.236 10.409
Sr Pt
3 1
direct
0.500 0.500 0.500
0.281 0.281 0.156
0.719 0.719 0.844
0.000 0.000 0.000